First-principles (GGA-PBEsol) data for a relaxed structure of Na2DyPCO7, as listed in Alexandria via LeMat-Bulk.

Cell and atoms, written as POSCAR:
```
Na2DyPCO7
1.0
5.0195 0.0000 0.0000
0.0000 6.9403 0.0000
-0.1079 0.0000 9.3705
Na Dy P C O
4 2 2 2 14
direct
0.2405 0.0121 0.2093 Na
0.2405 0.4879 0.2093 Na
0.7595 0.5121 0.7907 Na
0.7595 0.9879 0.7907 Na
0.2244 0.2500 0.6243 Dy
0.7756 0.7500 0.3757 Dy
0.3033 0.7500 0.5860 P
0.6967 0.2500 0.4140 P
0.2582 0.2500 0.9147 C
0.7418 0.7500 0.0853 C
0.0273 0.2500 0.8486 O
0.1833 0.5673 0.6526 O
0.1833 0.9327 0.6526 O
0.2449 0.7500 0.4210 O
0.2855 0.2500 0.0480 O
0.3880 0.2500 0.3970 O
0.4635 0.2500 0.8277 O
0.5365 0.7500 0.1723 O
0.6120 0.7500 0.6030 O
0.7145 0.7500 0.9520 O
0.7551 0.2500 0.5790 O
0.8167 0.0673 0.3474 O
0.8167 0.4327 0.3474 O
0.9727 0.7500 0.1514 O
```

Properties
symmetry	P2_1/m, No. 11
formation energy from raw total energies	-2.37	eV/atom
M_tot	0.00	μB per formula unit
calculated volume	163.2	Å³/f.u.
E_tot	-176.895	eV per cell